Crystalline DyZrGa2Au2 at its relaxed geometry. Source: the Open Quantum Materials Database, functional GGA-PBE.

```
DyZrGa2Au2
1.0
4.478 0.000 0.000
-2.239 3.878 0.000
0.000 0.000 6.868
Au Dy Ga Zr
2 1 2 1
Cartesian
2.239 1.293 1.696
2.239 1.293 5.173
0.000 0.000 0.000
0.000 2.585 2.027
0.000 2.585 4.841
0.000 0.000 3.434
```

Summary:
uncorrected energy: -4.99 eV per atom
magnetic moment: 0.002 μB/cell